1.
## RbLiEr2Te4 (GGA-PBE)

Data for a relaxed structure of RbLiEr2Te4.

The value obtained for the total moment is 0.0 μB/cell. The value obtained for the total energy is -139.72 eV for the cell shown. The value obtained for the uncorrected formation energy is -1295 meV per atom.

The space group is Cmcm (No. 63) and the conventional cell measures 4.4703, 15.0774 and 15.6957 Å, with angles of 90.00, 90.00 and 90.00 degrees. The distinct sites, in fractional coordinates, are Rb at (0.0000, 0.1129, 0.2500), Li at (0.0000, 0.1677, 0.7500), Er at (0.0000, 0.3671, 0.0637), Te at (0.0000, 0.0000, 0.0000), Te at (0.0000, 0.2645, 0.6053) and Te at (0.0000, 0.4299, 0.2500).

2.
## LiEr2Re (GGA-PBE)

Data for a relaxed structure of LiEr2Re.

The value obtained for the total moment is 0.0 μB/cell. The value obtained for the total energy is -23.29 eV for the cell shown. Its formation enthalpy at 0 K is 0.0504 eV per atom.

The space group is P4/mmm (No. 123) and the conventional cell measures 3.4370, 3.4370 and 7.8870 Å, with angles of 90.00, 90.00 and 90.00 degrees. The distinct sites, in fractional coordinates, are Li at (0.0000, 0.0000, 0.0000), Er at (0.5000, 0.5000, 0.2943) and Re at (0.0000, 0.0000, 0.5000).

3.
## LiErTiRe (GGA-PBE)

Data for a relaxed structure of LiErTiRe.

The value obtained for the total moment is 0.0 μB/cell. The value obtained for the total energy is -106.96 eV for the cell shown. Its formation enthalpy at 0 K is 0.0199 eV per atom.

The space group is F-43m (No. 216) and the conventional cell measures 6.5571, 6.5571 and 6.5571 Å, with angles of 90.00, 90.00 and 90.00 degrees. The distinct sites, in fractional coordinates, are Li at (0.0000, 0.0000, 0.0000), Er at (0.2500, 0.2500, 0.7500), Ti at (0.2500, 0.2500, 0.2500) and Re at (0.0000, 0.0000, 0.5000).

4.
## LiEr2Rh3 (GGA-PBE)

Data for a relaxed structure of LiEr2Rh3.

The value obtained for the total moment is 0.0 μB/cell. The value obtained for the total energy is -37.03 eV for the cell shown. Its formation enthalpy at 0 K is -0.6562 eV per atom.

The space group is P4/mmm (No. 123) and the conventional cell measures 3.3303, 3.3303 and 9.4290 Å, with angles of 90.00, 90.00 and 90.00 degrees. The distinct sites, in fractional coordinates, are Li at (0.0000, 0.0000, 0.0000), Er at (0.0000, 0.0000, 0.3145), Rh at (0.5000, 0.5000, 0.1487) and Rh at (0.5000, 0.5000, 0.5000).

5.
## LiEr3Rh2 (GGA-PBE)

Data for a relaxed structure of LiEr3Rh2.

The value obtained for the total moment is 0.0 μB/cell. The value obtained for the total energy is -68.69 eV for the cell shown. Its formation enthalpy at 0 K is -0.6733 eV per atom.

The space group is P-3m1 (No. 164) and the conventional cell measures 4.8414, 4.8414 and 11.9988 Å, with angles of 90.00, 90.00 and 120.00 degrees. The distinct sites, in fractional coordinates, are Li at (0.3333, 0.6667, 0.1701), Er at (0.0000, 0.0000, 0.2582), Er at (0.3333, 0.6667, 0.4230), Er at (0.3333, 0.6667, 0.9170), Rh at (0.0000, 0.0000, 0.0000), Rh at (0.0000, 0.0000, 0.5000) and Rh at (0.3333, 0.6667, 0.6709).

6.
## LiErRh2 (GGA-PBE)

Data for a relaxed structure of LiErRh2.

The value obtained for the total moment is 0.0 μB/cell. The value obtained for the total energy is -23.23 eV for the cell shown. Its formation enthalpy at 0 K is -0.5117 eV per atom.

The space group is P4/mmm (No. 123) and the conventional cell measures 4.1789, 4.1789 and 3.7370 Å, with angles of 90.00, 90.00 and 90.00 degrees. The distinct sites, in fractional coordinates, are Li at (0.0000, 0.0000, 0.0000), Er at (0.5000, 0.5000, 0.0000) and Rh at (0.0000, 0.5000, 0.5000).